## NiBiNO2 (PBE+U)

Data for a geometry-optimized NiBiNO2 structure.

Cell and atoms, written as CIF:
```
data_NiBiNO2
_chemical_formula_sum 'Ni1 Bi1 N1 O2'
_cell_length_a 3.874
_cell_length_b 3.874
_cell_length_c 3.807
_cell_angle_alpha 90.00
_cell_angle_beta 90.00
_cell_angle_gamma 90.00
_symmetry_space_group_name_H-M 'P 4/m m m'
_symmetry_Int_Tables_number 123
_symmetry_space_group_name_Hall '-P 4 2'
loop_
_atom_site_label
_atom_site_type_symbol
_atom_site_fract_x
_atom_site_fract_y
_atom_site_fract_z
Ni1 Ni 0.000 0.000 0.000
Bi1 Bi 0.500 0.500 0.500
N1 N 0.000 0.000 0.500
O1 O 0.000 0.500 0.000
```

## Properties
- Calculated total energy: -4.913 eV/atom